## LaNpMoO6 (PBE with a Hubbard U)

Data for a geometry-optimized LaNpMoO6 structure.

POSCAR file:
```
LaNpMoO6
1.0
5.8687 0.0000 0.0000
-2.9343 5.0824 0.0000
0.0000 0.0000 8.7002
O La Np Mo
12 2 2 2
direct
0.0448 0.3504 0.6239
0.9552 0.3056 0.1239
0.6944 0.6496 0.1239
0.3056 0.3504 0.8761
0.6944 0.0448 0.3761
0.6496 0.6944 0.6239
0.0448 0.6944 0.8761
0.3056 0.9552 0.6239
0.3504 0.3056 0.3761
0.9552 0.6496 0.3761
0.6496 0.9552 0.8761
0.3504 0.0448 0.1239
0.6667 0.3333 0.7500
0.3333 0.6667 0.2500
0.3333 0.6667 0.7500
0.6667 0.3333 0.2500
0.0000 0.0000 0.5000
0.0000 0.0000 0.0000
```

**Energy**: -155.3 eV for the cell shown
**ρ**: 7.27 g cm⁻³